# 1
Density functional theory data (PBE) for Rh2WBr after structural relaxation.

Results
For the uncorrected formation energy, the calculation gives 746.6 meV per atom. The relative energy among the computed polymorphs comes out at 596.9 meV per atom. The space group is Pmmm, No. 47.

abc: 2.9361 4.5703 4.7132
angles: 90.00 90.00 90.00
Closest atoms and distances in Å follow each position.
Atoms (fractional coordinates):
Rh 0.0000 0.0000 0.0000  4 Br 2.72, 6 Rh 2.78-2.94
Rh 0.5000 0.0000 0.5000  4 W 2.72, 6 Rh 2.78-2.94
W 0.0000 0.5000 0.5000  4 Rh 2.72, 4 Br 2.78, 2 W 2.94
Br 0.5000 0.5000 0.0000  4 Rh 2.72, 4 W 2.78, 2 Br 2.94

---

# 2
Density functional theory data (PBE) for SrCa2Se after structural relaxation.

Results
For the uncorrected formation energy, the calculation gives -519.8 meV per atom. The space group is I-4m2, No. 119.

abc: 6.8091 6.8091 6.8091
angles: 138.72 138.72 59.81
Closest atoms and distances in Å follow each position.
Atoms (fractional coordinates):
Sr 0.0000 0.0000 0.0000  4 Ca 3.39
Ca 0.2500 0.7500 0.5000  4 Se 3.39
Ca 0.5000 0.5000 0.0000  4 Sr 3.39
Se 0.7500 0.2500 0.5000  4 Ca 3.39

---

# 3
Density functional theory data (PBE) for ErZn4Ag after structural relaxation.

Results
The relative energy among the computed polymorphs comes out at 3.0 meV per atom. The value obtained for the formation energy is -0.180 eV per atom. The space group is F-43m, No. 216.

abc: 5.2874 5.2874 5.2874
angles: 60.00 60.00 60.00
Closest atoms and distances in Å follow each position.
Atoms (fractional coordinates):
Er 0.0000 0.0000 0.0000  12 Zn 3.10, 4 Ag 3.24
Zn 0.3748 0.3748 0.3748  6 Zn 2.64-2.65
Zn 0.3748 0.3748 0.8757  6 Zn 2.64-2.65
Zn 0.3748 0.8757 0.3748  6 Zn 2.64-2.65
Zn 0.8757 0.3748 0.3748  6 Zn 2.64-2.65
Ag 0.7500 0.7500 0.7500  12 Zn 3.10, 4 Er 3.24

---

# 4
Density functional theory data (PBE) for Ac5Tb2Sm after structural relaxation.

Results
The value obtained for the formation energy is 0.041 eV per atom. The space group is Pbam, No. 55.

abc: 7.6343 15.2709 5.4746
angles: 90.00 90.00 90.00
Closest atoms and distances in Å follow each position.
Atoms (fractional coordinates):
Ac 0.0000 0.0000 0.0000  4 Tb 3.82, 2 Sm 3.82, 6 Ac 3.85-3.87
Ac 0.0102 0.2534 0.0000  1 Sm 3.77, 4 Tb 3.81-3.89, 7 Ac 3.82-3.89
Ac 0.2410 0.6215 0.5000  4 Tb 3.75-3.88, 2 Sm 3.78, 6 Ac 3.85-3.89
Ac 0.2590 0.1215 0.5000  4 Tb 3.75-3.88, 2 Sm 3.78, 6 Ac 3.85-3.89
Ac 0.4898 0.7534 0.0000  1 Sm 3.77, 4 Tb 3.81-3.89, 7 Ac 3.82-3.89
Ac 0.5000 0.5000 0.0000  4 Tb 3.82, 2 Sm 3.82, 6 Ac 3.85-3.87
Ac 0.5102 0.2466 0.0000  1 Sm 3.77, 4 Tb 3.81-3.89, 7 Ac 3.82-3.89
Ac 0.7410 0.8785 0.5000  4 Tb 3.75-3.88, 2 Sm 3.78, 6 Ac 3.85-3.89
Ac 0.7590 0.3785 0.5000  4 Tb 3.75-3.88, 2 Sm 3.78, 6 Ac 3.85-3.89
Ac 0.9898 0.7466 0.0000  1 Sm 3.77, 4 Tb 3.81-3.89, 7 Ac 3.82-3.89
Tb 0.2440 0.8758 0.5000  10 Ac 3.75-3.89, 2 Sm 3.86
Tb 0.2560 0.3758 0.5000  10 Ac 3.75-3.89, 2 Sm 3.86
Tb 0.7440 0.6242 0.5000  10 Ac 3.75-3.89, 2 Sm 3.86
Tb 0.7560 0.1242 0.5000  10 Ac 3.75-3.89, 2 Sm 3.86
Sm 0.0000 0.5000 0.0000  8 Ac 3.77-3.82, 4 Tb 3.86
Sm 0.5000 0.0000 0.0000  8 Ac 3.77-3.82, 4 Tb 3.86

---

# 5
Density functional theory data (PBE) for ReOsRh2 after structural relaxation.

Results
The relative energy among the computed polymorphs comes out at 485.3 meV per atom. The value obtained for the formation energy is 0.426 eV per atom. The space group is P4/mmm, No. 123.

abc: 3.3085 3.3085 5.3906
angles: 90.00 90.00 90.00
Closest atoms and distances in Å follow each position.
Atoms (fractional coordinates):
Re 0.0000 0.0000 0.0000  2 Os 2.70, 8 Rh 2.70
Os 0.0000 0.0000 0.5000  2 Re 2.70, 8 Rh 2.70
Rh 0.5000 0.5000 0.2492  2 Rh 2.69-2.70, 4 Re 2.70, 4 Os 2.70
Rh 0.5000 0.5000 0.7508  2 Rh 2.69-2.70, 4 Re 2.70, 4 Os 2.70

---

# 6
Density functional theory data (PBE) for LiDyEr4Se8 after structural relaxation.

Results
For the uncorrected formation energy, the calculation gives -1777.2 meV per atom. The space group is R3m, No. 160.

abc: 8.3184 8.3184 8.3184
angles: 59.85 59.85 59.85
Closest atoms and distances in Å follow each position.
Atoms (fractional coordinates):
Li 0.0000 0.0000 0.0000  4 Se 2.65-2.66
Dy 0.6304 0.6304 0.6304  6 Se 2.83-2.92
Er 0.1093 0.6305 0.6305  6 Se 2.81-2.91
Er 0.2506 0.2506 0.2506  4 Se 2.71-2.72
Er 0.6305 0.1093 0.6305  6 Se 2.81-2.91
Er 0.6305 0.6305 0.1093  6 Se 2.81-2.91
Se 0.3824 0.3824 0.8503  3 Er 2.71-2.90, 1 Dy 2.92
Se 0.3824 0.8503 0.3824  3 Er 2.71-2.90, 1 Dy 2.92
Se 0.3839 0.3839 0.3839  4 Er 2.72-2.91
Se 0.3907 0.8710 0.8710  1 Li 2.65, 2 Er 2.81, 1 Dy 2.83
Se 0.8503 0.3824 0.3824  3 Er 2.71-2.90, 1 Dy 2.92
Se 0.8697 0.8697 0.8697  1 Li 2.66, 3 Er 2.81
Se 0.8710 0.3907 0.8710  1 Li 2.65, 2 Er 2.81, 1 Dy 2.83
Se 0.8710 0.8710 0.3907  1 Li 2.65, 2 Er 2.81, 1 Dy 2.83

---

# 7
Density functional theory data (PBE) for ThCdN after structural relaxation.

Results
For the uncorrected formation energy, the calculation gives -985.9 meV per atom. The relative energy among the computed polymorphs comes out at 89.6 meV per atom. The space group is R-3m, No. 166.

abc: 10.4178 10.4178 10.4178
angles: 22.19 22.19 22.19
Closest atoms and distances in Å follow each position.
Atoms (fractional coordinates):
Th 0.2145 0.2145 0.2145  4 N 2.37-2.39
Th 0.7855 0.7855 0.7855  4 N 2.37-2.39
Cd 0.3648 0.3648 0.3648  3 Cd 3.01
Cd 0.6352 0.6352 0.6352  3 Cd 3.01
N 0.1362 0.1362 0.1362  4 Th 2.37-2.39
N 0.8638 0.8638 0.8638  4 Th 2.37-2.39

---

# 8
Density functional theory data (PBE) for AlNiPd4 after structural relaxation.

Results
The value obtained for the formation energy is -0.423 eV per atom. The space group is Cmmm, No. 65.

abc: 5.6388 5.6388 4.0507
angles: 90.00 90.00 138.01
Closest atoms and distances in Å follow each position.
Atoms (fractional coordinates):
Al 0.0000 0.0000 0.0000  8 Pd 2.59-2.60, 4 Ni 2.86
Ni 0.5000 0.5000 0.5000  8 Pd 2.59, 4 Al 2.86
Pd 0.1546 0.8454 0.5000  2 Ni 2.59, 2 Al 2.60, 8 Pd 2.85-2.86
Pd 0.3460 0.6540 0.0000  2 Al 2.59, 2 Ni 2.59, 8 Pd 2.86
Pd 0.6540 0.3460 0.0000  2 Al 2.59, 2 Ni 2.59, 8 Pd 2.86
Pd 0.8454 0.1546 0.5000  2 Ni 2.59, 2 Al 2.60, 8 Pd 2.85-2.86

---

| no. | total energy (eV per atom) |
| --- | --- |
| 1 | -6.59 |
| 2 | -2.81 |
| 3 | -2.27 |
| 4 | -4.27 |
| 5 | -9.17 |
| 6 | -5.54 |
| 7 | -6.54 |
| 8 | -5.47 |